(1)
# InSi2Sn2 PBE-GGA relaxed
# Symmetry: I4/mmm, No. 139
# E above lowest polymorph in meV/atom: 0
data_InSi2Sn2
_chemical_formula_sum 'In1 Si2 Sn2'
_cell_length_a 9.6909
_cell_length_b 9.6909
_cell_length_c 9.6909
_cell_angle_alpha 159.05
_cell_angle_beta 159.05
_cell_angle_gamma 29.80
_symmetry_space_group_name_H-M 'P 1'
_symmetry_Int_Tables_number 1
loop_
_symmetry_equiv_pos_as_xyz
'x,y,z'
loop_
_atom_site_label
_atom_site_type_symbol
_atom_site_fract_x
_atom_site_fract_y
_atom_site_fract_z
In1 In 0.0000 0.0000 0.0000
Si1 Si 0.2500 0.7500 0.5000
Si2 Si 0.7500 0.2500 0.5000
Sn1 Sn 0.3820 0.3820 0.0000
Sn2 Sn 0.6180 0.6180 0.0000

***

(2)
# In12Si3Sn5 PBE-GGA relaxed
# Symmetry: Ia-3d, No. 230
data_In12Si3Sn5
_chemical_formula_sum 'In48 Si12 Sn20'
_cell_length_a 14.6673
_cell_length_b 14.6673
_cell_length_c 14.6673
_cell_angle_alpha 109.47
_cell_angle_beta 109.47
_cell_angle_gamma 109.47
_symmetry_space_group_name_H-M 'P 1'
_symmetry_Int_Tables_number 1
loop_
_symmetry_equiv_pos_as_xyz
'x,y,z'
loop_
_atom_site_label
_atom_site_type_symbol
_atom_site_fract_x
_atom_site_fract_y
_atom_site_fract_z
In1 In 0.0644 0.6339 0.3949
In2 In 0.0644 0.9305 0.6695
In3 In 0.0695 0.2390 0.1339
In4 In 0.0695 0.3305 0.9356
In5 In 0.1051 0.7390 0.6695
In6 In 0.1051 0.8661 0.4356
In7 In 0.1339 0.0695 0.2390
In8 In 0.1339 0.5644 0.8949
In9 In 0.1695 0.2390 0.6051
In10 In 0.1695 0.4305 0.5644
In11 In 0.2390 0.1339 0.0695
In12 In 0.2390 0.6051 0.1695
In13 In 0.2610 0.3305 0.8949
In14 In 0.2610 0.4305 0.3661
In15 In 0.3305 0.8949 0.2610
In16 In 0.3305 0.9356 0.0695
In17 In 0.3661 0.2610 0.4305
In18 In 0.3661 0.6051 0.9356
In19 In 0.3949 0.0644 0.6339
In20 In 0.3949 0.8305 0.7610
In21 In 0.4305 0.3661 0.2610
In22 In 0.4305 0.5644 0.1695
In23 In 0.4356 0.1051 0.8661
In24 In 0.4356 0.8305 0.5695
In25 In 0.5644 0.1695 0.4305
In26 In 0.5644 0.8949 0.1339
In27 In 0.5695 0.4356 0.8305
In28 In 0.5695 0.6339 0.7390
In29 In 0.6051 0.1695 0.2390
In30 In 0.6051 0.9356 0.3661
In31 In 0.6339 0.3949 0.0644
In32 In 0.6339 0.7390 0.5695
In33 In 0.6695 0.0644 0.9305
In34 In 0.6695 0.1051 0.7390
In35 In 0.7390 0.5695 0.6339
In36 In 0.7390 0.6695 0.1051
In37 In 0.7610 0.3949 0.8305
In38 In 0.7610 0.8661 0.9305
In39 In 0.8305 0.5695 0.4356
In40 In 0.8305 0.7610 0.3949
In41 In 0.8661 0.4356 0.1051
In42 In 0.8661 0.9305 0.7610
In43 In 0.8949 0.1339 0.5644
In44 In 0.8949 0.2610 0.3305
In45 In 0.9305 0.6695 0.0644
In46 In 0.9305 0.7610 0.8661
In47 In 0.9356 0.0695 0.3305
In48 In 0.9356 0.3661 0.6051
Si1 Si 0.1250 0.2500 0.3750
Si2 Si 0.1250 0.3750 0.7500
Si3 Si 0.2500 0.3750 0.1250
Si4 Si 0.2500 0.8750 0.6250
Si5 Si 0.3750 0.1250 0.2500
Si6 Si 0.3750 0.7500 0.1250
Si7 Si 0.6250 0.2500 0.8750
Si8 Si 0.6250 0.8750 0.7500
Si9 Si 0.7500 0.1250 0.3750
Si10 Si 0.7500 0.6250 0.8750
Si11 Si 0.8750 0.6250 0.2500
Si12 Si 0.8750 0.7500 0.6250
Sn1 Sn 0.0000 0.0000 0.0000
Sn2 Sn 0.0000 0.0000 0.5000
Sn3 Sn 0.0000 0.5000 0.0000
Sn4 Sn 0.0000 0.5000 0.5000
Sn5 Sn 0.1250 0.7500 0.8750
Sn6 Sn 0.1250 0.8750 0.2500
Sn7 Sn 0.2500 0.1250 0.8750
Sn8 Sn 0.2500 0.6250 0.3750
Sn9 Sn 0.3750 0.2500 0.6250
Sn10 Sn 0.3750 0.6250 0.7500
Sn11 Sn 0.5000 0.0000 0.0000
Sn12 Sn 0.5000 0.0000 0.5000
Sn13 Sn 0.5000 0.5000 0.0000
Sn14 Sn 0.5000 0.5000 0.5000
Sn15 Sn 0.6250 0.3750 0.2500
Sn16 Sn 0.6250 0.7500 0.3750
Sn17 Sn 0.7500 0.3750 0.6250
Sn18 Sn 0.7500 0.8750 0.1250
Sn19 Sn 0.8750 0.1250 0.7500
Sn20 Sn 0.8750 0.2500 0.1250

***

(3)
# InSi2Sn2 PBE-GGA relaxed
# Symmetry: I4/mmm, No. 139
# E above lowest polymorph in meV/atom: 16
data_InSi2Sn2
_chemical_formula_sum 'In1 Si2 Sn2'
_cell_length_a 5.8712
_cell_length_b 5.8712
_cell_length_c 5.8712
_cell_angle_alpha 128.29
_cell_angle_beta 128.29
_cell_angle_gamma 76.16
_symmetry_space_group_name_H-M 'P 1'
_symmetry_Int_Tables_number 1
loop_
_symmetry_equiv_pos_as_xyz
'x,y,z'
loop_
_atom_site_label
_atom_site_type_symbol
_atom_site_fract_x
_atom_site_fract_y
_atom_site_fract_z
In1 In 0.0000 0.0000 0.0000
Si1 Si 0.3713 0.3713 0.0000
Si2 Si 0.6287 0.6287 0.0000
Sn1 Sn 0.2500 0.7500 0.5000
Sn2 Sn 0.7500 0.2500 0.5000

***

(4)
# InSiSn2 PBE-GGA relaxed
# Symmetry: Fm-3m, No. 225
# E above lowest polymorph in meV/atom: 130
data_InSiSn2
_chemical_formula_sum 'In1 Si1 Sn2'
_cell_length_a 5.1678
_cell_length_b 5.1678
_cell_length_c 5.1678
_cell_angle_alpha 60.00
_cell_angle_beta 60.00
_cell_angle_gamma 60.00
_symmetry_space_group_name_H-M 'P 1'
_symmetry_Int_Tables_number 1
loop_
_symmetry_equiv_pos_as_xyz
'x,y,z'
loop_
_atom_site_label
_atom_site_type_symbol
_atom_site_fract_x
_atom_site_fract_y
_atom_site_fract_z
In1 In 0.0000 0.0000 0.0000
Si1 Si 0.5000 0.5000 0.5000
Sn1 Sn 0.2500 0.2500 0.2500
Sn2 Sn 0.7500 0.7500 0.7500

***

(5)
# In2SiSn2 PBE-GGA relaxed
# Symmetry: P4/mbm, No. 127
# E above lowest polymorph in meV/atom: 0
data_In2SiSn2
_chemical_formula_sum 'In4 Si2 Sn4'
_cell_length_a 7.3115
_cell_length_b 7.3115
_cell_length_c 5.1002
_cell_angle_alpha 90.00
_cell_angle_beta 90.00
_cell_angle_gamma 90.00
_symmetry_space_group_name_H-M 'P 1'
_symmetry_Int_Tables_number 1
loop_
_symmetry_equiv_pos_as_xyz
'x,y,z'
loop_
_atom_site_label
_atom_site_type_symbol
_atom_site_fract_x
_atom_site_fract_y
_atom_site_fract_z
In1 In 0.1702 0.3298 0.0000
In2 In 0.3298 0.8298 0.0000
In3 In 0.6702 0.1702 0.0000
In4 In 0.8298 0.6702 0.0000
Si1 Si 0.0000 0.0000 0.5000
Si2 Si 0.5000 0.5000 0.5000
Sn1 Sn 0.1461 0.6461 0.5000
Sn2 Sn 0.3539 0.1461 0.5000
Sn3 Sn 0.6461 0.8539 0.5000
Sn4 Sn 0.8539 0.3539 0.5000

***

(6)
# In2SiSn2 PBE-GGA relaxed
# Symmetry: P4/mbm, No. 127
# E above lowest polymorph in meV/atom: 53
data_In2SiSn2
_chemical_formula_sum 'In4 Si2 Sn4'
_cell_length_a 7.1362
_cell_length_b 7.1362
_cell_length_c 5.2037
_cell_angle_alpha 90.00
_cell_angle_beta 90.00
_cell_angle_gamma 90.00
_symmetry_space_group_name_H-M 'P 1'
_symmetry_Int_Tables_number 1
loop_
_symmetry_equiv_pos_as_xyz
'x,y,z'
loop_
_atom_site_label
_atom_site_type_symbol
_atom_site_fract_x
_atom_site_fract_y
_atom_site_fract_z
In1 In 0.1452 0.3548 0.0000
In2 In 0.3548 0.8548 0.0000
In3 In 0.6452 0.1452 0.0000
In4 In 0.8548 0.6452 0.0000
Si1 Si 0.0000 0.0000 0.0000
Si2 Si 0.5000 0.5000 0.0000
Sn1 Sn 0.1792 0.6792 0.5000
Sn2 Sn 0.3208 0.1792 0.5000
Sn3 Sn 0.6792 0.8208 0.5000
Sn4 Sn 0.8208 0.3208 0.5000

***

(7)
# InSi2Sn PBE-GGA relaxed
# Symmetry: I-42d, No. 122
# E above lowest polymorph in meV/atom: 0
data_InSi2Sn
_chemical_formula_sum 'In2 Si4 Sn2'
_cell_length_a 7.3799
_cell_length_b 7.3799
_cell_length_c 7.3799
_cell_angle_alpha 130.95
_cell_angle_beta 130.95
_cell_angle_gamma 71.89
_symmetry_space_group_name_H-M 'P 1'
_symmetry_Int_Tables_number 1
loop_
_symmetry_equiv_pos_as_xyz
'x,y,z'
loop_
_atom_site_label
_atom_site_type_symbol
_atom_site_fract_x
_atom_site_fract_y
_atom_site_fract_z
In1 In 0.0000 0.0000 0.0000
In2 In 0.7500 0.2500 0.5000
Si1 Si 0.1270 0.6250 0.0020
Si2 Si 0.3750 0.3770 0.5020
Si3 Si 0.6230 0.1250 0.9980
Si4 Si 0.8750 0.8730 0.4980
Sn1 Sn 0.2500 0.7500 0.5000
Sn2 Sn 0.5000 0.5000 0.0000

***

(8)
# SrInSi2Sn PBE-GGA relaxed
# Symmetry: P4/mmm, No. 123
data_SrInSi2Sn
_chemical_formula_sum 'Sr1 In1 Si2 Sn1'
_cell_length_a 5.2798
_cell_length_b 5.2798
_cell_length_c 5.9224
_cell_angle_alpha 90.00
_cell_angle_beta 90.00
_cell_angle_gamma 90.00
_symmetry_space_group_name_H-M 'P 1'
_symmetry_Int_Tables_number 1
loop_
_symmetry_equiv_pos_as_xyz
'x,y,z'
loop_
_atom_site_label
_atom_site_type_symbol
_atom_site_fract_x
_atom_site_fract_y
_atom_site_fract_z
Sr1 Sr 0.0000 0.0000 0.0000
In1 In 0.0000 0.0000 0.5000
Si1 Si 0.0000 0.5000 0.5000
Si2 Si 0.5000 0.0000 0.5000
Sn1 Sn 0.5000 0.5000 0.0000

***

Number 1: total moment 0.000 Bohr magnetons per cell, uncorrected formation energy 0.224 eV per atom. Number 2: total moment 0.000 Bohr magnetons per cell, uncorrected formation energy 0.262 eV per atom. Number 3: total moment 0.000 Bohr magnetons per cell, uncorrected formation energy 0.240 eV per atom. Number 4: total moment 0.000 Bohr magnetons per cell, uncorrected formation energy 0.318 eV per atom. Number 5: total moment 0.000 Bohr magnetons per cell, uncorrected formation energy 0.271 eV per atom. Number 6: total moment 0.000 Bohr magnetons per cell, uncorrected formation energy 0.324 eV per atom. Number 7: total moment 0.000 Bohr magnetons per cell, uncorrected formation energy 0.310 eV per atom. Number 8: total moment 0.000 Bohr magnetons per cell, uncorrected formation energy 0.728 eV per atom.